Record 1
# CoRe2Os (PBE, relaxed)
# ΔE_f (eV per atom): 0.7731
# Size of the total moment (μB per formula unit): 0.00
# Volume (Å³/f.u.): 61.1
data_CoRe2Os
_space_group_name_H-M_alt 'I -4 2 d'
_space_group_IT_number 122
_space_group_name_Hall 'I -4 2bw'
_cell_length_a 3.7564
_cell_length_b 3.7564
_cell_length_c 17.3186
_cell_angle_alpha 90.00
_cell_angle_beta 90.00
_cell_angle_gamma 90.00
loop_
_atom_site_label
_atom_site_fract_x
_atom_site_fract_y
_atom_site_fract_z
Co1 0.0000 0.0000 0.0000
Re1 0.2152 0.2500 0.1250
Os1 0.0000 0.0000 0.5000

---

Record 2
# CoReOs (PBE, relaxed)
# ΔE_f (eV per atom): 0.2707
# Size of the total moment (μB per formula unit): 1.05
# Volume (Å³/f.u.): 40.5
data_CoReOs
_space_group_name_H-M_alt 'I 4 m m'
_space_group_IT_number 107
_space_group_name_Hall 'I 4 -2'
_cell_length_a 3.1193
_cell_length_b 3.1193
_cell_length_c 8.3197
_cell_angle_alpha 90.00
_cell_angle_beta 90.00
_cell_angle_gamma 90.00
loop_
_atom_site_label
_atom_site_fract_x
_atom_site_fract_y
_atom_site_fract_z
Co1 0.0000 0.0000 0.0000
Re1 0.0000 0.0000 0.6567
Os1 0.0000 0.0000 0.3341

---

Record 3
# Co2ReOs (PBE, relaxed)
# ΔE_f (eV per atom): 0.2208
# Size of the total moment (μB per formula unit): 2.90
# Volume (Å³/f.u.): 51.2
data_Co2ReOs
_space_group_name_H-M_alt 'P 4 m m'
_space_group_IT_number 99
_cell_length_a 2.9550
_cell_length_b 2.9550
_cell_length_c 5.8600
_cell_angle_alpha 90.00
_cell_angle_beta 90.00
_cell_angle_gamma 90.00
loop_
_space_group_symop_operation_xyz
'x,y,z'
'-y,x,z'
'-x,-y,z'
'y,-x,z'
'-x,y,z'
'y,x,z'
'x,-y,z'
'-y,-x,z'
loop_
_atom_site_label
_atom_site_fract_x
_atom_site_fract_y
_atom_site_fract_z
Co1 0.0000 0.0000 0.0000
Co2 0.5000 0.5000 0.1769
Re1 0.5000 0.5000 0.7320
Os1 0.0000 0.0000 0.4486

---

Record 4
# Co2ReOs (PBE, relaxed)
# ΔE_f (eV per atom): 0.0983
# Size of the total moment (μB per formula unit): 0.89
# Volume (Å³/f.u.): 50.3
data_Co2ReOs
_space_group_name_H-M_alt 'P 4/m m m'
_space_group_IT_number 123
_space_group_name_Hall '-P 4 2'
_cell_length_a 3.6892
_cell_length_b 3.6892
_cell_length_c 3.6975
_cell_angle_alpha 90.00
_cell_angle_beta 90.00
_cell_angle_gamma 90.00
loop_
_atom_site_label
_atom_site_fract_x
_atom_site_fract_y
_atom_site_fract_z
Co1 0.0000 0.5000 0.0000
Re1 0.0000 0.0000 0.5000
Os1 0.5000 0.5000 0.5000

---

Record 5
# CoReOs (PBE, relaxed)
# ΔE_f (eV per atom): 0.2580
# Size of the total moment (μB per formula unit): 0.00
# Volume (Å³/f.u.): 41.3
data_CoReOs
_space_group_name_H-M_alt 'I m m 2'
_space_group_IT_number 44
_cell_length_a 2.6821
_cell_length_b 4.3978
_cell_length_c 6.9999
_cell_angle_alpha 90.00
_cell_angle_beta 90.00
_cell_angle_gamma 90.00
loop_
_space_group_symop_operation_xyz
'x,y,z'
'-x,-y,z'
'-x,y,z'
'x,-y,z'
'x+1/2,y+1/2,z+1/2'
'-x+1/2,-y+1/2,z+1/2'
'-x+1/2,y+1/2,z+1/2'
'x+1/2,-y+1/2,z+1/2'
loop_
_atom_site_label
_atom_site_fract_x
_atom_site_fract_y
_atom_site_fract_z
Co1 0.0000 0.0000 0.0000
Re1 0.0000 0.5000 0.1811
Os1 0.0000 0.5000 0.8116

---

Record 6
# Co2ReOs (PBE, relaxed)
# ΔE_f (eV per atom): 0.1244
# Size of the total moment (μB per formula unit): 0.75
# Volume (Å³/f.u.): 50.4
data_Co2ReOs
_space_group_name_H-M_alt 'P m m m'
_space_group_IT_number 47
_cell_length_a 2.6159
_cell_length_b 3.6986
_cell_length_c 5.2047
_cell_angle_alpha 90.00
_cell_angle_beta 90.00
_cell_angle_gamma 90.00
loop_
_space_group_symop_operation_xyz
'x,y,z'
'-x,-y,-z'
'-x,-y,z'
'x,y,-z'
'x,-y,-z'
'-x,y,z'
'-x,y,-z'
'x,-y,z'
loop_
_atom_site_label
_atom_site_fract_x
_atom_site_fract_y
_atom_site_fract_z
Co1 0.0000 0.0000 0.2480
Re1 0.5000 0.5000 0.5000
Os1 0.5000 0.5000 0.0000

---

> Which of these has the highest size of the total moment?

number 3

---

> size of the total moment of number 6 (Co2ReOs)?

0.75 μB per formula unit

---

> Look up the ΔE_f of the sixth one.

0.1244 eV per atom

---

> The highest volume belongs to which entry?

CoRe2Os